1.
VASP calculation (GGA-PBE) on Tm2NpNbN4 after structural relaxation.

a b c (Å): 3.3180 5.7217 5.7991
angles (deg): 108.84 90.00 90.00
With the nearest neighbours (Å) after each atom.
Element x y z (fractional)
Nb: 0.0000 0.0000 0.0000  6 N 2.30-2.31
N: 0.0000 0.7522 0.2439  1 Nb 2.30, 2 Np 2.35, 3 Tm 2.37-2.38
Tm: 0.0000 0.5000 0.5000  6 N 2.38-2.40
Np: 0.5000 0.5000 0.0000  6 N 2.31-2.35
N: 0.5000 0.2443 0.2371  1 Np 2.31, 2 Nb 2.31, 3 Tm 2.38-2.40
N: 0.5000 0.7557 0.7629  1 Np 2.31, 2 Nb 2.31, 3 Tm 2.38-2.40
N: 0.0000 0.2478 0.7561  1 Nb 2.30, 2 Np 2.35, 3 Tm 2.37-2.38
Tm: 0.5000 0.0000 0.5000  6 N 2.37-2.38

- N(E_F): 7.31 states/eV/f.u.
- SG: No. 10
- Formation energy without anion corrections: -1.441 eV per atom



2.
VASP calculation (GGA-PBE) on TbSc2GaAu4 after structural relaxation.

a b c (Å): 4.7390 4.7390 8.7999
angles (deg): 74.38 74.38 60.00
With the nearest neighbours (Å) after each atom.
Element x y z (fractional)
Au: 0.8790 0.8790 0.3631  4 Sc 2.82-2.97, 3 Ga 2.97, 1 Tb 3.04
Ga: 0.5000 0.5000 0.5000  8 Au 2.79-2.97
Tb: 0.0000 0.0000 0.0000  8 Au 3.04-3.07
Au: 0.6112 0.6112 0.1664  1 Ga 2.79, 3 Sc 2.90, 3 Tb 3.07
Sc: 0.2394 0.2394 0.2819  7 Au 2.82-2.97
Au: 0.1210 0.1210 0.6369  4 Sc 2.82-2.97, 3 Ga 2.97, 1 Tb 3.04
Sc: 0.7606 0.7606 0.7181  7 Au 2.82-2.97
Au: 0.3888 0.3888 0.8336  1 Ga 2.79, 3 Sc 2.90, 3 Tb 3.07

- Calculated formation energy: -0.6995 eV/atom
- N(E_F): 3.36 states/eV/f.u.
- SG: No. 166



3.
VASP calculation (GGA-PBE) on Nd2ReTc3 after structural relaxation.

a b c (Å): 5.6418 5.6418 5.3463
angles (deg): 90.58 121.67 119.53
With the nearest neighbours (Å) after each atom.
Element x y z (fractional)
Nd: 0.7480 0.3746 0.1225  9 Tc 3.09-3.26, 4 Nd 3.20-3.43, 3 Re 3.29-3.31
Tc: 0.5000 0.5000 0.5000  2 Re 2.67, 4 Tc 2.82-2.84
Tc: 0.5000 0.0000 0.5000  2 Re 2.68, 4 Tc 2.82
Re: 0.0000 0.0000 0.0000  6 Tc 2.67-2.68
Nd: 0.2520 0.6254 0.8775  9 Tc 3.09-3.26, 4 Nd 3.20-3.43, 3 Re 3.29-3.31
Tc: 0.0000 0.0000 0.5000  2 Re 2.67, 4 Tc 2.82-2.84

- Calculated formation energy: 0.0402 eV/atom
- N(E_F): 7.14 states/eV/f.u.
- SG: No. 12



4.
VASP calculation (GGA-PBE) on CaTl5 after structural relaxation.

a b c (Å): 5.5632 5.5656 6.6791
angles (deg): 89.88 90.00 119.99
With the nearest neighbours (Å) after each atom.
Element x y z (fractional)
Ca: 0.3056 0.6111 0.1111  14 Tl 3.34-3.64
Tl: 0.9726 0.9452 0.3649  5 Tl 3.21-3.38
Tl: 0.6385 0.2770 0.8573  5 Tl 3.21-3.38
Tl: 0.6394 0.2787 0.3632  5 Tl 3.21-3.38
Tl: 0.9717 0.9435 0.8589  5 Tl 3.21-3.38
Tl: 0.3056 0.6111 0.6112  2 Ca 3.34, 12 Tl 3.61-3.62

- Calculated formation energy: -0.1298 eV/atom
- N(E_F): 2.40 states/eV/f.u.
- SG: No. 12



5.
VASP calculation (GGA-PBE) on Mg3W after structural relaxation.

a b c (Å): 5.2259 5.2259 12.1737
angles (deg): 150.32 150.32 32.07
With the nearest neighbours (Å) after each atom.
Element x y z (fractional)
Mg: 0.0000 0.0000 0.5000  8 Mg 2.89-3.07, 4 W 3.01
Mg: 0.0232 0.0232 0.7696  9 Mg 2.85-3.19, 3 W 2.93-3.02
W: 0.0000 0.0000 0.0000  2 W 2.89, 10 Mg 2.93-3.02
Mg: 0.9768 0.9768 0.2304  9 Mg 2.85-3.19, 3 W 2.93-3.02

- Calculated formation energy: 0.4227 eV/atom
- N(E_F): 2.24 states/eV/f.u.
- SG: No. 12



6.
VASP calculation (GGA-PBE) on Ac8Rh3I4Br after structural relaxation.

a b c (Å): 8.9469 10.0692 8.9502
angles (deg): 116.43 119.99 90.00
With the nearest neighbours (Å) after each atom.
Element x y z (fractional)
Rh: 0.5000 0.5000 0.0000  6 Ac 2.98-3.03
Ac: 0.7010 0.6924 0.9468  2 Rh 2.98, 1 Br 3.27
I: 0.0000 0.0000 0.0000  6 Ac 3.76-3.79
Rh: 0.5000 0.5000 0.5000  6 Ac 2.98-3.03
Ac: 0.2720 0.3163 0.5440  3 Rh 3.03
Ac: 0.7542 0.3076 0.5084  2 Rh 2.98, 1 Br 3.27
Ac: 0.2990 0.3076 0.0532  2 Rh 2.98, 1 Br 3.27
I: 0.0000 0.0000 0.5000  6 Ac 3.76-3.79
I: 0.5000 0.0000 0.5000  6 Ac 3.76-3.79
Br: 0.0000 0.5000 0.0000  6 Ac 3.27
Ac: 0.7280 0.6837 0.4560  3 Rh 3.03
Rh: 0.0000 0.5000 0.5000  6 Ac 2.98-3.03
Ac: 0.2458 0.6924 0.9468  2 Rh 2.98, 1 Br 3.27
I: 0.5000 0.0000 0.0000  6 Ac 3.55
Ac: 0.2458 0.6924 0.4916  2 Rh 2.98, 1 Br 3.27
Ac: 0.7542 0.3076 0.0532  2 Rh 2.98, 1 Br 3.27

- N(E_F): 8.21 states/eV/f.u.
- SG: No. 12
- Formation energy without anion corrections: -1.002 eV per atom



7.
VASP calculation (GGA-PBE) on Sr2CuTeO6 after structural relaxation.

a b c (Å): 5.8354 5.8354 5.8354
angles (deg): 124.14 124.14 82.97
With the nearest neighbours (Å) after each atom.
Element x y z (fractional)
O: 0.2772 0.2772 0.0000  1 Te 1.95
O: 0.3091 0.1943 0.5035  1 Te 1.97, 1 Cu 2.00
O: 0.7228 0.7228 0.0000  1 Te 1.95
Te: 0.5000 0.5000 0.0000  6 O 1.95-1.97
O: 0.6909 0.8057 0.4965  1 Te 1.97, 1 Cu 2.00
Sr: 0.2500 0.7500 0.5000  8 O 2.64-2.74
O: 0.8057 0.3091 0.1148  1 Te 1.97, 1 Cu 2.00
O: 0.1943 0.6909 0.8852  1 Te 1.97, 1 Cu 2.00
Cu: 0.0000 0.0000 0.0000  4 O 2.00
Sr: 0.7500 0.2500 0.5000  8 O 2.64-2.74

- SG: No. 87
- Formation energy without anion corrections: -1.790 eV per atom



8.
VASP calculation (GGA-PBE) on LiHfTlRe2 after structural relaxation.

a b c (Å): 4.9152 5.5856 4.9152
angles (deg): 90.00 90.00 90.00
With the nearest neighbours (Å) after each atom.
Element x y z (fractional)
Re: 0.0000 0.0000 0.5000  2 Hf 2.46
Hf: 0.0000 0.0000 0.0000  4 Re 2.46
Li: 0.5000 0.5000 0.5000  4 Tl 3.48, 8 Re 3.72
Tl: 0.0000 0.5000 0.0000  2 Hf 2.79
Re: 0.5000 0.0000 0.0000  2 Hf 2.46

- Calculated formation energy: 1.7927 eV/atom
- N(E_F): 4.62 states/eV/f.u.
- SG: No. 123



9.
VASP calculation (GGA-PBE) on NaSeO3F after structural relaxation.

a b c (Å): 4.8957 4.6968 9.7758
angles (deg): 76.10 90.41 91.72
With the nearest neighbours (Å) after each atom.
Element x y z (fractional)
Na: 0.7500 0.7505 0.4990  4 F 2.36-2.46
Na: 0.2500 0.2495 0.5010  4 F 2.36-2.46
O: 0.4259 0.7849 0.9591  2 Se 1.77-1.93
Se: 0.7500 0.0349 0.9301  3 O 1.63-1.77
O: 0.2500 0.8794 0.2413  1 Se 1.63
F: 0.7500 0.2604 0.4792  4 Na 2.36-2.46
Se: 0.2500 0.9651 0.0699  3 O 1.63-1.77
O: 0.0741 0.2560 0.9591  2 Se 1.77-1.93
F: 0.2500 0.7396 0.5208  4 Na 2.36-2.46
O: 0.5741 0.2151 0.0409  2 Se 1.77-1.93
O: 0.7500 0.1206 0.7587  1 Se 1.63
O: 0.9259 0.7440 0.0409  2 Se 1.77-1.93

- SG: No. 15
- Formation energy without anion corrections: -1.023 eV per atom



10.
VASP calculation (GGA-PBE) on Be2HgIr2 after structural relaxation.

a b c (Å): 3.0226 3.0226 7.7849
angles (deg): 78.81 78.81 90.00
With the nearest neighbours (Å) after each atom.
Element x y z (fractional)
Ir: 0.6350 0.6350 0.7300  4 Be 2.29
Be: 0.7500 0.2500 0.5000  4 Be 2.14, 4 Ir 2.29
Hg: 0.0000 0.0000 0.0000  8 Ir 2.94, 4 Hg 3.02
Be: 0.2500 0.7500 0.5000  4 Be 2.14, 4 Ir 2.29
Ir: 0.3650 0.3650 0.2700  4 Be 2.29

- Calculated formation energy: 0.0187 eV/atom
- N(E_F): 3.80 states/eV/f.u.
- SG: No. 139



11.
VASP calculation (GGA-PBE) on Zr2TaTc after structural relaxation.

a b c (Å): 3.2419 3.2419 7.3820
angles (deg): 90.00 90.00 90.00
With the nearest neighbours (Å) after each atom.
Element x y z (fractional)
Zr: 0.5000 0.5000 0.2635  4 Ta 3.05, 8 Zr 3.17-3.24
Ta: 0.0000 0.0000 0.5356  4 Tc 2.72
Zr: 0.0000 0.0000 0.9677  4 Tc 2.87, 4 Zr 3.17, 1 Ta 3.19
Tc: 0.5000 0.5000 0.7332  4 Ta 2.72, 4 Zr 2.87

- Calculated formation energy: -0.1917 eV/atom
- N(E_F): 3.89 states/eV/f.u.
- SG: No. 99



12.
VASP calculation (GGA-PBE) on Ba4BeSi after structural relaxation.

a b c (Å): 7.0334 7.0334 7.0334
angles (deg): 60.00 60.00 60.00
With the nearest neighbours (Å) after each atom.
Element x y z (fractional)
Ba: 0.3741 0.3741 0.3741  6 Ba 3.49-3.54
Si: 0.0000 0.0000 0.0000  12 Ba 4.12, 4 Be 4.31
Be: 0.7500 0.7500 0.7500  12 Ba 4.13, 4 Si 4.31
Ba: 0.8776 0.3741 0.3741  6 Ba 3.49-3.54
Ba: 0.3741 0.3741 0.8776  6 Ba 3.49-3.54
Ba: 0.3741 0.8776 0.3741  6 Ba 3.49-3.54

- N(E_F): 6.89 states/eV/f.u.
- SG: No. 216
- Formation energy without anion corrections: 0.936 eV per atom



Number 1: total energy -76.78 eV/cell. Number 2: total energy -39.03 eV/cell. Number 3: total energy -52.84 eV/cell. Number 4: total energy -14.61 eV/cell. Number 5: total energy -16.05 eV/cell. Number 6: total energy -78.83 eV/cell. Number 7: total energy -58.25 eV/cell. Number 8: total energy -30.17 eV/cell. Number 9: total energy -55.38 eV/cell. Number 10: total energy -25.38 eV/cell. Number 11: total energy -40.08 eV/cell. Number 12: total energy -11.22 eV/cell.